1.
{"formula": "LaCrPb", "functional": "PBE-GGA", "state": "relaxed", "final_energy_ha_per_atom": -0.223, "density_g_cm3": 7.586, "magnetic_moment_mub_per_fu": 4.97, "space_group": "F-43m (216)", "lattice": [[-3.993, 2.906, -0.610], [-4.179, -1.887, -1.933], [-4.007, -0.640, 2.881]], "species": ["Cr", "La", "Pb"], "fractional_positions": [[0.250, 0.250, 0.250], [0.000, 0.000, 0.000], [0.500, 0.500, 0.500]]}



2.
{"formula": "DySb2Pd8", "functional": "PBE-GGA", "state": "relaxed", "density_g_cm3": 10.351, "magnetic_moment_mub_per_fu": 0.00, "space_group": "C2/m (12)", "formation_energy_uncorrected_ev_per_atom": -0.47, "lattice": [[4.648, -0.213, -0.319], [-1.083, 7.070, -0.289], [-1.083, -2.990, 6.413]], "species": ["Dy", "Sb", "Sb", "Pd", "Pd", "Pd", "Pd", "Pd", "Pd", "Pd", "Pd"], "fractional_positions": [[0.500, 0.000, 0.000], [0.000, 0.318, 0.682], [0.000, 0.682, 0.318], [0.892, 0.925, 0.684], [0.892, 0.684, 0.925], [0.325, 0.609, 0.609], [0.500, 0.770, 0.230], [0.500, 0.230, 0.770], [0.675, 0.391, 0.391], [0.108, 0.316, 0.075], [0.108, 0.075, 0.316]]}



3.
{"formula": "Hf3TaTe", "functional": "PBE-GGA", "state": "relaxed", "density_g_cm3": 10.368, "de_polymorph_ev_per_fu": 0.00, "magnetic_moment_mub_per_fu": 0.00, "space_group": "Pm-3m (221)", "formation_energy_uncorrected_ev_per_atom": 0.93, "lattice": [[-0.771, 2.054, 4.639], [1.578, -4.363, 2.194], [4.822, 1.756, 0.024]], "species": ["Te", "Hf", "Hf", "Hf", "Ta"], "fractional_positions": [[0.500, 0.500, 0.500], [0.000, 0.500, 0.000], [0.000, 0.000, 0.500], [0.500, 0.000, 0.000], [0.000, 0.000, 0.000]]}



4.
{"formula": "La9Co3Au", "functional": "PBE-GGA", "state": "relaxed", "final_energy_ha_per_atom": -0.201, "density_g_cm3": 6.515, "magnetic_moment_mub_per_fu": 0.00, "space_group": "P2_1/m (11)", "lattice": [[-2.896, -2.167, 5.827], [-8.404, -3.544, -5.495], [5.576, -9.683, -2.283]], "species": ["La", "La", "La", "La", "La", "La", "La", "La", "La", "La", "La", "La", "La", "La", "La", "La", "La", "La", "Co", "Co", "Co", "Co", "Co", "Co", "Au", "Au"], "fractional_positions": [[0.147, 0.250, 0.969], [0.147, 0.927, 0.798], [0.147, 0.573, 0.798], [0.245, 0.944, 0.458], [0.245, 0.556, 0.458], [0.292, 0.250, 0.645], [0.342, 0.925, 0.124], [0.342, 0.575, 0.124], [0.422, 0.250, 0.299], [0.578, 0.750, 0.701], [0.658, 0.075, 0.876], [0.658, 0.425, 0.876], [0.708, 0.750, 0.355], [0.755, 0.056, 0.542], [0.755, 0.444, 0.542], [0.853, 0.073, 0.202], [0.853, 0.427, 0.202], [0.853, 0.750, 0.031], [0.000, 0.000, 0.000], [0.000, 0.500, 0.000], [0.445, 0.493, 0.673], [0.445, 0.007, 0.673], [0.555, 0.993, 0.327], [0.555, 0.507, 0.327], [0.026, 0.250, 0.411], [0.974, 0.750, 0.589]]}



5.
{"formula": "SrPuCrN3", "functional": "PBE-GGA", "state": "relaxed", "density_g_cm3": 8.538, "magnetic_moment_mub_per_fu": 3.74, "space_group": "C2/m (12)", "formation_energy_uncorrected_ev_per_atom": -0.89, "lattice": [[3.701, 0.000, 0.000], [-1.851, 6.618, 0.050], [0.000, -1.868, 6.745]], "species": ["Sr", "Sr", "Pu", "Pu", "Cr", "Cr", "N", "N", "N", "N", "N", "N"], "fractional_positions": [[0.361, 0.722, 0.930], [0.639, 0.278, 0.070], [0.657, 0.313, 0.580], [0.343, 0.687, 0.420], [0.000, 0.001, 0.331], [0.000, 0.999, 0.669], [0.845, 0.690, 0.214], [0.836, 0.672, 0.633], [0.503, 0.006, 0.295], [0.164, 0.328, 0.367], [0.497, 0.994, 0.705], [0.155, 0.310, 0.786]]}



6.
{"formula": "K4Al4Si19", "functional": "PBE-GGA", "state": "relaxed", "density_g_cm3": 2.261, "magnetic_moment_mub_per_fu": 0.00, "space_group": "P1 (1)", "formation_energy_uncorrected_ev_per_atom": -0.07, "lattice": [[10.536, 0.000, -0.001], [0.039, 10.538, -0.001], [0.018, 0.014, 10.555]], "species": ["Al", "Al", "Al", "Al", "Al", "Al", "Al", "Al", "K", "K", "K", "K", "K", "K", "K", "K", "Si", "Si", "Si", "Si", "Si", "Si", "Si", "Si", "Si", "Si", "Si", "Si", "Si", "Si", "Si", "Si", "Si", "Si", "Si", "Si", "Si", "Si", "Si", "Si", "Si", "Si", "Si", "Si", "Si", "Si", "Si", "Si", "Si", "Si", "Si", "Si", "Si", "Si"], "fractional_positions": [[0.253, 0.998, 0.499], [0.000, 0.500, 0.250], [0.499, 0.749, 0.002], [0.878, 0.000, 0.692], [0.002, 0.307, 0.879], [0.305, 0.121, 0.001], [0.499, 0.381, 0.195], [0.808, 0.501, 0.621], [0.001, 0.005, 0.996], [0.751, 0.497, 0.000], [0.250, 0.499, 0.001], [0.000, 0.749, 0.502], [0.004, 0.251, 0.498], [0.500, 0.005, 0.753], [0.497, 0.999, 0.247], [0.503, 0.498, 0.499], [0.744, 0.998, 0.493], [0.009, 0.508, 0.751], [0.505, 0.252, 0.995], [0.811, 0.813, 0.821], [0.188, 0.180, 0.805], [0.818, 0.185, 0.187], [0.181, 0.815, 0.183], [0.316, 0.313, 0.681], [0.680, 0.688, 0.689], [0.690, 0.316, 0.318], [0.317, 0.685, 0.318], [0.178, 0.183, 0.194], [0.815, 0.814, 0.182], [0.186, 0.818, 0.816], [0.809, 0.186, 0.818], [0.684, 0.683, 0.315], [0.307, 0.317, 0.321], [0.320, 0.685, 0.686], [0.682, 0.309, 0.684], [0.119, 0.998, 0.692], [0.877, 0.997, 0.302], [0.111, 0.996, 0.305], [0.001, 0.699, 0.879], [0.000, 0.697, 0.113], [0.000, 0.303, 0.120], [0.695, 0.887, 0.002], [0.696, 0.122, 0.002], [0.302, 0.880, 0.001], [0.500, 0.377, 0.802], [0.500, 0.612, 0.804], [0.500, 0.621, 0.199], [0.199, 0.503, 0.622], [0.196, 0.503, 0.389], [0.805, 0.501, 0.382], [0.386, 0.197, 0.497], [0.619, 0.194, 0.497], [0.387, 0.802, 0.501], [0.620, 0.804, 0.500]]}



7.
{"formula": "MgGaHg5", "functional": "PBE-GGA", "state": "relaxed", "final_energy_ha_per_atom": -0.032, "density_g_cm3": 10.427, "magnetic_moment_mub_per_fu": 0.00, "space_group": "C2/c (15)", "lattice": [[-0.553, 1.809, -8.547], [4.338, -7.214, 2.402], [-6.576, 0.543, 2.087]], "species": ["Mg", "Mg", "Ga", "Ga", "Hg", "Hg", "Hg", "Hg", "Hg", "Hg", "Hg", "Hg", "Hg", "Hg"], "fractional_positions": [[0.000, 0.000, 0.000], [0.500, 0.000, 0.500], [0.764, 0.514, 0.250], [0.236, 0.486, 0.750], [0.905, 0.305, 0.012], [0.192, 0.812, 0.636], [0.208, 0.107, 0.512], [0.458, 0.208, 0.250], [0.675, 0.556, 0.864], [0.325, 0.444, 0.136], [0.542, 0.792, 0.750], [0.792, 0.893, 0.488], [0.808, 0.188, 0.364], [0.095, 0.695, 0.988]]}



8.
{"formula": "SrMgTi2", "functional": "PBE-GGA", "state": "relaxed", "final_energy_ha_per_atom": -0.144, "density_g_cm3": 2.937, "magnetic_moment_mub_per_fu": 0.00, "space_group": "I-42d (122)", "lattice": [[4.615, 0.000, 0.000], [0.000, 4.615, 0.000], [2.308, 2.308, 11.026]], "species": ["Sr", "Sr", "Mg", "Mg", "Ti", "Ti", "Ti", "Ti"], "fractional_positions": [[0.000, 0.000, 0.000], [0.750, 0.250, 0.500], [0.500, 0.500, 0.000], [0.250, 0.750, 0.500], [0.341, 0.125, 0.250], [0.409, 0.625, 0.250], [0.375, 0.659, 0.750], [0.875, 0.591, 0.750]]}



9.
{"formula": "NpSi2Pd", "functional": "PBE-GGA", "state": "relaxed", "density_g_cm3": 9.176, "magnetic_moment_mub_per_fu": 4.03, "space_group": "R-3m (166)", "formation_energy_uncorrected_ev_per_atom": -0.41, "lattice": [[4.082, 0.000, 0.000], [2.041, 3.535, 0.000], [2.041, 1.178, 5.010]], "species": ["Np", "Si", "Si", "Pd"], "fractional_positions": [[0.500, 0.500, 0.500], [0.283, 0.283, 0.151], [0.717, 0.717, 0.849], [0.000, 0.000, 0.000]]}



10.
{"formula": "UCoS3", "functional": "PBE-GGA", "state": "relaxed", "density_g_cm3": 7.593, "de_polymorph_ev_per_fu": 0.00, "magnetic_moment_mub_per_fu": 2.84, "space_group": "Pnma (62)", "formation_energy_uncorrected_ev_per_atom": -0.98, "lattice": [[-3.714, 2.619, -3.748], [-5.319, -2.112, 3.795], [0.425, 7.152, 4.577]], "species": ["U", "U", "U", "U", "Co", "Co", "Co", "Co", "S", "S", "S", "S", "S", "S", "S", "S", "S", "S", "S", "S"], "fractional_positions": [[0.568, 0.375, 0.750], [0.432, 0.625, 0.250], [0.068, 0.125, 0.250], [0.932, 0.875, 0.750], [0.000, 0.500, 0.000], [0.000, 0.500, 0.500], [0.500, 0.000, 0.500], [0.500, 0.000, 0.000], [0.842, 0.181, 0.551], [0.158, 0.819, 0.051], [0.342, 0.319, 0.051], [0.658, 0.681, 0.551], [0.842, 0.181, 0.949], [0.158, 0.819, 0.449], [0.342, 0.319, 0.449], [0.658, 0.681, 0.949], [0.857, 0.464, 0.250], [0.143, 0.536, 0.750], [0.357, 0.036, 0.750], [0.643, 0.964, 0.250]]}



11.
{"formula": "AcPm7Y2", "functional": "PBE-GGA", "state": "relaxed", "density_g_cm3": 5.554, "de_polymorph_ev_per_fu": 5.61, "magnetic_moment_mub_per_fu": 0.00, "space_group": "Cmmm (65)", "lattice": [[-1.708, -0.892, -5.518], [2.283, -8.990, 0.747], [-8.458, 3.270, 2.089]], "species": ["Ac", "Pm", "Pm", "Pm", "Pm", "Pm", "Pm", "Pm", "Y", "Y"], "fractional_positions": [[0.000, 0.000, 0.000], [0.000, 0.770, 0.230], [0.000, 0.230, 0.770], [0.500, 0.062, 0.295], [0.500, 0.938, 0.705], [0.500, 0.295, 0.062], [0.500, 0.705, 0.938], [0.500, 0.500, 0.500], [0.500, 0.705, 0.295], [0.500, 0.295, 0.705]]}



12.
{"formula": "TmZrRe", "functional": "PBE-GGA", "state": "relaxed", "density_g_cm3": 10.893, "de_polymorph_ev_per_fu": 0.00, "magnetic_moment_mub_per_fu": 0.00, "space_group": "I4mm (107)", "lattice": [[3.354, 0.000, 0.000], [0.000, 3.354, 0.000], [-1.677, -1.677, 6.048]], "species": ["Re", "Tm", "Zr"], "fractional_positions": [[0.676, 0.676, 0.352], [0.030, 0.030, 0.060], [0.294, 0.294, 0.588]]}



13.
{"formula": "TiCdPt3", "functional": "PBE-GGA", "state": "relaxed", "density_g_cm3": 11.754, "de_polymorph_ev_per_fu": 0.00, "magnetic_moment_mub_per_fu": 0.00, "space_group": "Pm-3m (221)", "lattice": [[-0.647, 1.393, 4.466], [-4.599, -1.014, -0.350], [0.856, -4.397, 1.496]], "species": ["Ti", "Pt", "Pt", "Pt", "Cd"], "fractional_positions": [[0.000, 0.000, 0.000], [0.000, 0.500, 0.000], [0.000, 0.000, 0.500], [0.500, 0.000, 0.000], [0.500, 0.500, 0.500]]}



14.
{"formula": "Lu2TiHg", "functional": "PBE-GGA", "state": "relaxed", "density_g_cm3": 9.660, "de_polymorph_ev_per_fu": 1.73, "magnetic_moment_mub_per_fu": 2.35, "space_group": "R-3m (166)", "lattice": [[3.316, 0.000, 0.000], [1.658, 2.871, 0.000], [1.658, 0.957, 10.805]], "species": ["Lu", "Lu", "Hg", "Ti"], "fractional_positions": [[0.090, 0.090, 0.730], [0.910, 0.910, 0.270], [0.500, 0.500, 0.500], [0.000, 0.000, 0.000]]}



15.
{"formula": "Sr2Li4Ag", "functional": "PBE-GGA", "state": "relaxed", "final_energy_ha_per_atom": -0.071, "density_g_cm3": 2.360, "magnetic_moment_mub_per_fu": 0.00, "space_group": "I4/mmm (139)", "lattice": [[-3.923, 2.210, -2.274], [-2.760, -4.161, 0.717], [-6.002, 2.094, 6.796]], "species": ["Sr", "Sr", "Ag", "Li", "Li", "Li", "Li"], "fractional_positions": [[0.647, 0.647, 0.706], [0.353, 0.353, 0.294], [0.000, 0.000, 0.000], [0.851, 0.851, 0.298], [0.149, 0.149, 0.702], [0.000, 0.500, 0.000], [0.500, 0.000, 0.000]]}



16.
{"formula": "TbGa4Pd2Ru", "functional": "PBE-GGA", "state": "relaxed", "final_energy_ha_per_atom": -0.189, "density_g_cm3": 9.109, "magnetic_moment_mub_per_fu": 0.00, "space_group": "R-3m (166)", "lattice": [[-2.613, -3.361, -0.254], [0.323, -3.171, 2.833], [-6.469, 1.868, 6.036]], "species": ["Tb", "Ga", "Ga", "Ga", "Ga", "Pd", "Pd", "Ru"], "fractional_positions": [[0.000, 0.000, 0.000], [0.399, 0.399, 0.803], [0.867, 0.867, 0.400], [0.133, 0.133, 0.600], [0.601, 0.601, 0.197], [0.762, 0.762, 0.714], [0.238, 0.238, 0.286], [0.500, 0.500, 0.500]]}



17.
{"formula": "LaNdIN", "functional": "PBE-GGA", "state": "relaxed", "density_g_cm3": 7.085, "magnetic_moment_mub_per_fu": 0.00, "space_group": "Cm (8)", "formation_energy_uncorrected_ev_per_atom": -1.22, "lattice": [[3.829, -0.005, -0.001], [-1.918, 3.322, 0.001], [-1.915, -1.103, 7.819]], "species": ["La", "Nd", "I", "N"], "fractional_positions": [[0.523, 0.159, 0.698], [0.084, 0.940, 0.040], [0.964, 0.380, 0.358], [0.307, 0.552, 0.874]]}



18.
{"formula": "YZr2As", "functional": "PBE-GGA", "state": "relaxed", "final_energy_ha_per_atom": -0.278, "density_g_cm3": 6.259, "magnetic_moment_mub_per_fu": 0.00, "space_group": "P4mm (99)", "lattice": [[-0.773, 1.872, 2.946], [-2.853, -2.078, 0.572], [4.043, -4.477, 3.905]], "species": ["Y", "As", "Zr", "Zr"], "fractional_positions": [[0.500, 0.500, 0.725], [0.000, 0.000, 0.462], [0.000, 0.000, 0.027], [0.500, 0.500, 0.286]]}



19.
{"formula": "TbPrPu2Bi4", "functional": "PBE-GGA", "state": "relaxed", "final_energy_ha_per_atom": -0.268, "density_g_cm3": 10.077, "magnetic_moment_mub_per_fu": 0.04, "space_group": "P2/m (10)", "lattice": [[4.558, 0.000, 0.000], [0.000, 7.905, 0.149], [0.000, -2.751, 7.373]], "species": ["Tb", "Pr", "Pu", "Pu", "Bi", "Bi", "Bi", "Bi"], "fractional_positions": [[0.500, 0.500, 0.000], [0.000, 0.000, 0.000], [0.500, 0.000, 0.500], [0.000, 0.500, 0.500], [0.500, 0.256, 0.255], [0.500, 0.744, 0.745], [0.000, 0.254, 0.749], [0.000, 0.746, 0.251]]}



20.
{"formula": "PmEr2Pu3Te6", "functional": "PBE-GGA", "state": "relaxed", "density_g_cm3": 9.086, "magnetic_moment_mub_per_fu": 5.96, "space_group": "C2/m (12)", "formation_energy_uncorrected_ev_per_atom": -1.20, "lattice": [[-3.770, 1.375, -1.773], [-2.098, -8.325, -1.996], [-1.834, 0.418, 9.653]], "species": ["Pm", "Er", "Er", "Pu", "Pu", "Pu", "Te", "Te", "Te", "Te", "Te", "Te"], "fractional_positions": [[0.500, 0.000, 0.000], [0.834, 0.665, 0.668], [0.166, 0.335, 0.332], [0.500, 0.500, 0.000], [0.836, 0.165, 0.671], [0.164, 0.835, 0.329], [0.331, 0.909, 0.662], [0.669, 0.580, 0.338], [0.669, 0.091, 0.338], [0.003, 0.254, 0.006], [0.997, 0.746, 0.994], [0.331, 0.420, 0.662]]}